First-principles (GGA-PBE) data for a geometry-optimized Cs2PmTmSe4 structure, as listed in the Alexandria database.

a = 7.4440 Å, b = 4.2962 Å, c = 8.7413 Å
α = 90.00°, β = 106.46°, γ = 90.00°
Positions (direct):
Cs  0.0000  0.0000  0.0000
Cs  0.5000  0.5000  0.0000
Pm  0.0000  0.5000  0.5000
Tm  0.5000  0.0000  0.5000
Se  0.2377  0.0000  0.6879
Se  0.2801  0.5000  0.3154
Se  0.7199  0.5000  0.6846
Se  0.7623  0.0000  0.3121

Values from the calculation:
Formation energy (no corrections) = -1.716 eV per atom
Space-group type = P2/m
Total DFT energy (no corrections) = -4.825 eV per atom